1.
Compound: Fe4Co3
Source: Alexandria via LeMat-Bulk
Functional: SCAN
Structure: single point on PBEsol structure

Lattice parameters (Å, degrees): 2.425 6.074 6.078 118.29 97.90 97.19
Space group P-1 (No. 2)
Unique sites:
Fe1 0.142 0.356 0.072
Fe2 0.286 0.214 0.641
Co1 0.000 0.500 0.500
Co2 0.418 0.070 0.215

- E above lowest polymorph: 0.591 kcal/mol of atoms


2.
Compound: Fe5Co3
Source: Alexandria via LeMat-Bulk
Functional: SCAN
Structure: single point on PBEsol structure

Lattice parameters (Å, degrees): 8.405 3.951 5.591 90.00 109.37 90.00
Space group Cm (No. 8)
Unique sites:
Fe1 0.000 0.000 0.000
Fe2 0.000 0.000 0.499
Fe3 0.249 0.500 0.124
Fe4 0.249 0.500 0.624
Fe5 0.498 0.000 0.749
Co1 0.002 0.500 0.250
Co2 0.249 0.000 0.374
Co3 0.249 0.000 0.874

- E above lowest polymorph: 0.945 kcal/mol of atoms


3.
Compound: Fe5Co3
Source: Alexandria via LeMat-Bulk
Functional: SCAN
Structure: single point on PBEsol structure

Lattice parameters (Å, degrees): 5.599 5.599 5.599 90.00 90.00 90.00
Space group Im-3m (No. 229)
Unique sites:
Fe1 0.000 0.000 0.000
Fe2 0.250 0.250 0.250
Co1 0.000 0.000 0.500

- E above lowest polymorph: 0.000 kcal/mol of atoms


4.
Compound: Fe5Co3
Source: Alexandria via LeMat-Bulk
Functional: SCAN
Structure: single point on PBEsol structure

Lattice parameters (Å, degrees): 2.782 5.585 5.639 90.00 90.00 90.00
Space group Pmm2 (No. 25)
Unique sites:
Fe1 0.000 0.000 0.000
Fe2 0.000 0.000 0.496
Fe3 0.000 0.500 0.495
Fe4 0.500 0.252 0.751
Co1 0.000 0.500 0.996
Co2 0.500 0.250 0.250

- E above lowest polymorph: 1.334 kcal/mol of atoms


5.
Compound: Fe2Co5
Source: Alexandria via LeMat-Bulk
Functional: SCAN
Structure: single point on PBEsol structure

Lattice parameters (Å, degrees): 3.9256 3.9256 16.8743 90.00 90.00 120.00
Space group R-3m (No. 166, hexagonal axes)
Unique sites:
Fe1 0.0000 0.0000 0.0718
Co1 0.0000 0.0000 0.2147
Co2 0.0000 0.0000 0.3589
Co3 0.0000 0.0000 0.5000

- E above lowest polymorph: 0.400 kcal/mol of atoms


6.
Compound: Fe5Co24
Source: Alexandria via LeMat-Bulk
Functional: SCAN
Structure: single point on PBEsol structure

Lattice parameters (Å, degrees): 8.512 8.512 8.512 90.00 90.00 90.00
Space group I-43m (No. 217)
Unique sites:
Fe1 0.000 0.000 0.000
Fe2 0.182 0.182 0.818
Co1 0.040 0.358 0.358
Co2 0.091 0.091 0.282


7.
Compound: FeCo7
Source: Alexandria via LeMat-Bulk
Functional: SCAN
Structure: single point on PBEsol structure

Lattice parameters (Å, degrees): 2.664 3.959 16.051 90.00 90.00 90.00
Space group Immm (No. 71)
Unique sites:
Fe1 0.000 0.000 0.000
Co1 0.000 0.000 0.242
Co2 0.000 0.000 0.500
Co3 0.000 0.500 0.132
Co4 0.000 0.500 0.381

- E above lowest polymorph: 0.907 kcal/mol of atoms


8.
Compound: FeCo7
Source: Alexandria via LeMat-Bulk
Functional: SCAN
Structure: single point on PBEsol structure

Lattice parameters (Å, degrees): 3.9157 3.9157 19.1929 90.00 90.00 120.00
Space group R-3m (No. 166, hexagonal axes)
Unique sites:
Fe1 0.0000 0.0000 0.0000
Co1 0.0000 0.0000 0.1213
Co2 0.0000 0.0000 0.2454
Co3 0.0000 0.0000 0.3733
Co4 0.0000 0.0000 0.5000

- E above lowest polymorph: 0.332 kcal/mol of atoms


9.
Compound: Fe4Co3
Source: Alexandria via LeMat-Bulk
Functional: SCAN
Structure: single point on PBEsol structure

Lattice parameters (Å, degrees): 3.9526 3.9526 16.9266 90.00 90.00 120.00
Space group R3m (No. 160, hexagonal axes)
Unique sites:
Fe1 0.0000 0.0000 0.0000
Fe2 0.0000 0.0000 0.1421
Fe3 0.0000 0.0000 0.5712
Fe4 0.0000 0.0000 0.8566
Co1 0.0000 0.0000 0.2855
Co2 0.0000 0.0000 0.4297
Co3 0.0000 0.0000 0.7127

- E above lowest polymorph: 0.059 kcal/mol of atoms


10.
Compound: Fe7Co
Source: Alexandria via LeMat-Bulk
Functional: SCAN
Structure: single point on PBEsol structure

Lattice parameters (Å, degrees): 2.783 3.949 15.846 90.00 90.00 90.00
Space group Immm (No. 71)
Unique sites:
Fe1 0.000 0.000 0.000
Fe2 0.000 0.000 0.249
Fe3 0.000 0.500 0.125
Fe4 0.000 0.500 0.375
Co1 0.000 0.000 0.500

- E above lowest polymorph: 0.000 kcal/mol of atoms


11.
Compound: Fe4Co3
Source: Alexandria via LeMat-Bulk
Functional: SCAN
Structure: single point on PBEsol structure

Lattice parameters (Å, degrees): 16.034 3.940 2.425 90.00 96.01 90.00
Space group Cm (No. 8)
Unique sites:
Fe1 0.000 0.000 0.000
Fe2 0.072 0.500 0.715
Fe3 0.144 0.000 0.425
Fe4 0.357 0.500 0.563
Co1 0.214 0.500 0.149
Co2 0.287 0.000 0.830
Co3 0.429 0.000 0.286

- E above lowest polymorph: 0.735 kcal/mol of atoms


12.
Compound: FeCo6
Source: Alexandria via LeMat-Bulk
Functional: SCAN
Structure: single point on PBEsol structure

Lattice parameters (Å, degrees): 3.9171 3.9171 16.7847 90.00 90.00 120.00
Space group R-3m (No. 166, hexagonal axes)
Unique sites:
Fe1 0.0000 0.0000 0.0000
Co1 0.0000 0.0000 0.1424
Co2 0.0000 0.0000 0.2863
Co3 0.0000 0.0000 0.4299

- E above lowest polymorph: 0.000 kcal/mol of atoms


Energy of formation (computed, eV/atom): -0.125, -0.163, -0.204, -0.146, -0.100, -0.004, -0.013, -0.038, -0.148, -0.078, -0.118, -0.056